Entry 1:
{"formula": "LiAcOF2", "functional": "PBE", "state": "optimized geometry", "spacegroup": "I4/mcm (140)", "cell": [[-2.686, 2.686, 4.361], [2.686, -2.686, 4.361], [2.686, 2.686, -4.361]], "species": ["Li", "Li", "Ac", "Ac", "O", "O", "F", "F", "F", "F"], "fractional_positions": [[0.000, 0.000, 0.000], [0.500, 0.500, 0.000], [0.250, 0.750, 0.500], [0.750, 0.250, 0.500], [0.250, 0.250, 0.000], [0.750, 0.750, 0.000], [0.184, 0.684, 0.867], [0.316, 0.184, 0.500], [0.684, 0.816, 0.500], [0.816, 0.316, 0.133]]}


Entry 2:
{"formula": "LiAcPF", "functional": "PBE", "state": "optimized geometry", "spacegroup": "P4/nmm (129)", "cell": [[4.099, 0.000, 0.000], [0.000, 4.099, 0.000], [0.000, 0.000, 9.098]], "species": ["Li", "Li", "Ac", "Ac", "P", "P", "F", "F"], "fractional_positions": [[0.250, 0.750, 0.000], [0.750, 0.250, 0.000], [0.250, 0.250, 0.313], [0.750, 0.750, 0.687], [0.250, 0.250, 0.829], [0.750, 0.750, 0.171], [0.250, 0.750, 0.500], [0.750, 0.250, 0.500]]}


no.,total energy (eV per atom),uncorrected formation energy (eV per atom)
1,-6.289,-3.344
2,-5.471,-2.145